[1]
AsIO3: relaxed, GGA-PBE.

Lattice parameters (Å, degrees): 3.9822 3.9822 3.9822 90.00 90.00 90.00
Last column: nearest neighbours and their distance in Å.
Atoms (fractional coordinates):
O 0.5000 0.0000 0.0000  2 As 1.99
I 0.5000 0.5000 0.5000  12 O 2.82
As 0.0000 0.0000 0.0000  6 O 1.99
O 0.0000 0.5000 0.0000  2 As 1.99
O 0.0000 0.0000 0.5000  2 As 1.99

Output
total moment: 0.00 μB per formula unit
formation energy without anion corrections: -6 meV per atom
DOS(E_F): 1.04 states/eV per atom

=====

[2]
PaCo2Si: relaxed, GGA-PBE.

Lattice parameters (Å, degrees): 3.8723 3.8723 5.1513 67.92 67.92 60.00
Last column: nearest neighbours and their distance in Å.
Atoms (fractional coordinates):
Pa 0.0000 0.0000 0.0000  8 Co 2.78-2.99
Co 0.7851 0.7851 0.6446  3 Si 2.33, 3 Co 2.61
Si 0.5000 0.5000 0.5000  6 Co 2.33
Co 0.2149 0.2149 0.3554  3 Si 2.33, 3 Co 2.61

Output
total moment: 0.00 μB per formula unit
formation energy without anion corrections: -621 meV per atom
DOS(E_F): 1.05 states/eV per atom

=====

[3]
MgCo2NiN: relaxed, GGA-PBE.

Lattice parameters (Å, degrees): 4.5127 3.6521 4.5127 90.00 90.00 90.00
Last column: nearest neighbours and their distance in Å.
Atoms (fractional coordinates):
N 0.0000 0.5000 0.0000  2 Mg 1.83
Mg 0.0000 0.0000 0.0000  2 N 1.83
Co 0.5000 0.0000 0.0000  2 Mg 2.26
Ni 0.5000 0.5000 0.5000  8 Co 2.90, 4 N 3.19
Co 0.0000 0.0000 0.5000  2 Mg 2.26

Output
total moment: 5.00 μB per formula unit
formation energy without anion corrections: 1724 meV per atom
DOS(E_F): 1.23 states/eV per atom
offset from the most stable computed form: 1865 meV/atom